The following is a DFT calculation (PBE with a Hubbard U) of a relaxed structure of V2NO.

```
V2NO
1.0
-2.4080 -0.0691 1.8924
-1.7750 -0.9841 -2.2946
0.9626 -4.2320 1.0703
V N O
2 1 1
Cartesian
0.0000 0.0000 0.0000
-1.6102 -2.6426 0.3340
0.4813 -2.1160 0.5351
-2.0915 -0.5266 -0.2011
```

Results
Crystal system: tetragonal
Energy above the most stable polymorph in this dataset in meV per atom: 2
Magnetization in μB/atom: 1.24